# TlMoO | Alexandria via LeMat-Bulk | PBE+U | relaxed
data_TlMoO
_chemical_formula_sum 'Tl2 Mo2 O2'
_symmetry_space_group_name_H-M 'P 1 m 1'
_symmetry_Int_Tables_number 6
_symmetry_space_group_name_Hall 'P -2y'
_cell_length_a 6.2192
_cell_length_b 3.2264
_cell_length_c 6.2621
_cell_angle_alpha 90.00
_cell_angle_beta 101.53
_cell_angle_gamma 90.00
loop_
_atom_site_label
_atom_site_type_symbol
_atom_site_fract_x
_atom_site_fract_y
_atom_site_fract_z
Tl1 Tl 0.0000 0.0000 0.0000
Tl2 Tl 0.4747 0.5000 0.9897
Mo1 Mo 0.4208 0.0000 0.4771
Mo2 Mo 0.8452 0.5000 0.3994
O1 O 0.1944 0.5000 0.4547
O2 O 0.7625 0.0000 0.5821
# D(E_F): 0.2717 states/eV/atom
# Final energy: -5.098 eV/atom
# Offset from the most stable computed form: 14.6 meV per atom